1.
The following is a DFT calculation (PBE) of a relaxed structure of LaInAu4.

Values from the calculation:
For the density of states at the Fermi level, the calculation gives 4.97 states/eV/cell. The value obtained for the total moment is 0.000 μB per atom. The space group is C2/m, No. 12. As for the energy relative to the elements: -0.448 eV/atom.

a b c (Å): 6.6121 6.6121 6.8941
angles (deg): 102.66 102.66 73.29
Positions (direct):
La: 0.1577 0.1577 0.2575
La: 0.8423 0.8423 0.7425
In: 0.4004 0.4004 0.7031
In: 0.5996 0.5996 0.2969
Au: 0.1531 0.1531 0.7649
Au: 0.1911 0.5691 0.0640
Au: 0.2411 0.7589 0.5000
Au: 0.4309 0.8089 0.9360
Au: 0.5691 0.1911 0.0640
Au: 0.7589 0.2411 0.5000
Au: 0.8089 0.4309 0.9360
Au: 0.8469 0.8469 0.2351

2.
The following is a DFT calculation (PBE) of a relaxed structure of La2In12Au.

Values from the calculation:
For the density of states at the Fermi level, the calculation gives 12.75 states/eV/cell. The value obtained for the total moment is 0.000 μB per atom. The space group is P4/nbm, No. 125. As for the energy relative to the elements: -0.234 eV/atom.

a b c (Å): 6.8967 6.8967 17.2950
angles (deg): 90.00 90.00 90.00
Positions (direct):
La: 0.2500 0.7500 0.2451
La: 0.2500 0.7500 0.7549
La: 0.7500 0.2500 0.2451
La: 0.7500 0.2500 0.7549
In: 0.0004 0.9996 0.0887
In: 0.9996 0.0004 0.9113
In: 0.9996 0.4996 0.0887
In: 0.0004 0.5004 0.9113
In: 0.0856 0.5856 0.4293
In: 0.0856 0.9144 0.5707
In: 0.2500 0.2500 0.1854
In: 0.2500 0.2500 0.3441
In: 0.2500 0.2500 0.6559
In: 0.2500 0.2500 0.8146
In: 0.4144 0.5856 0.5707
In: 0.4144 0.9144 0.4293
In: 0.5004 0.0004 0.0887
In: 0.4996 0.9996 0.9113
In: 0.4996 0.5004 0.0887
In: 0.5004 0.4996 0.9113
In: 0.5856 0.0856 0.5707
In: 0.5856 0.4144 0.4293
In: 0.7500 0.7500 0.1854
In: 0.7500 0.7500 0.3441
In: 0.7500 0.7500 0.6559
In: 0.7500 0.7500 0.8146
In: 0.9144 0.0856 0.4293
In: 0.9144 0.4144 0.5707
Au: 0.2500 0.7500 0.0000
Au: 0.7500 0.2500 0.0000

3.
The following is a DFT calculation (PBE) of a relaxed structure of LaInAu.

Values from the calculation:
For the density of states at the Fermi level, the calculation gives 5.33 states/eV/cell. The value obtained for the total moment is 0.000 μB per atom. The space group is I4mm, No. 107. As for the energy relative to the elements: -0.549 eV/atom.

a b c (Å): 3.6271 3.6271 11.7561
angles (deg): 90.00 90.00 90.00
Positions (direct):
La: 0.0000 0.0000 0.0000
La: 0.5000 0.5000 0.5000
In: 0.0000 0.0000 0.6992
In: 0.5000 0.5000 0.1992
Au: 0.0000 0.0000 0.3347
Au: 0.5000 0.5000 0.8347

4.
The following is a DFT calculation (PBE) of a relaxed structure of La5In2Au.

Values from the calculation:
For the density of states at the Fermi level, the calculation gives 20.86 states/eV/cell. The value obtained for the total moment is 0.000 μB per atom. The space group is Pbam, No. 55. As for the energy relative to the elements: -0.461 eV/atom.

a b c (Å): 7.0168 13.5979 5.3373
angles (deg): 90.00 90.00 90.00
Positions (direct):
La: 0.0000 0.0000 0.0000
La: 0.1216 0.2800 0.0000
La: 0.1578 0.5948 0.5000
La: 0.3422 0.0948 0.5000
La: 0.3784 0.7800 0.0000
La: 0.5000 0.5000 0.0000
La: 0.6216 0.2200 0.0000
La: 0.6578 0.9052 0.5000
La: 0.8422 0.4052 0.5000
La: 0.8784 0.7200 0.0000
In: 0.1234 0.8493 0.5000
In: 0.3766 0.3493 0.5000
In: 0.6234 0.6507 0.5000
In: 0.8766 0.1507 0.5000
Au: 0.0000 0.5000 0.0000
Au: 0.5000 0.0000 0.0000

5.
The following is a DFT calculation (PBE) of a relaxed structure of La2InAu3.

Values from the calculation:
For the density of states at the Fermi level, the calculation gives 7.69 states/eV/cell. The value obtained for the total moment is 0.000 μB per atom. The space group is Fmmm, No. 69. As for the energy relative to the elements: -0.750 eV/atom.

a b c (Å): 9.7381 9.2068 6.0885
angles (deg): 76.06 66.58 37.36
Positions (direct):
La: 0.2392 0.7608 0.7608
La: 0.2500 0.2500 0.2500
La: 0.7500 0.7500 0.7500
La: 0.7608 0.2392 0.2392
In: 0.3341 0.3341 0.6659
In: 0.6659 0.6659 0.3341
Au: 0.1685 0.1685 0.8315
Au: 0.1691 0.6640 0.3360
Au: 0.3360 0.8309 0.1691
Au: 0.6640 0.1691 0.8309
Au: 0.8309 0.3360 0.6640
Au: 0.8315 0.8315 0.1685

6.
The following is a DFT calculation (PBE) of a relaxed structure of LaInAu3.

Values from the calculation:
For the density of states at the Fermi level, the calculation gives 6.67 states/eV/cell. The value obtained for the total moment is 0.000 μB per atom. The space group is Cmcm, No. 63. As for the energy relative to the elements: -0.577 eV/atom.

a b c (Å): 13.9447 13.9447 4.5806
angles (deg): 90.00 90.00 164.67
Positions (direct):
La: 0.0778 0.9222 0.7500
La: 0.9222 0.0778 0.2500
In: 0.2090 0.7910 0.2500
In: 0.7910 0.2090 0.7500
Au: 0.3106 0.6894 0.2500
Au: 0.3724 0.6276 0.7500
Au: 0.4722 0.5278 0.7500
Au: 0.5278 0.4722 0.2500
Au: 0.6276 0.3724 0.2500
Au: 0.6894 0.3106 0.7500

7.
The following is a DFT calculation (PBE) of a relaxed structure of LaIn3Au.

Values from the calculation:
For the density of states at the Fermi level, the calculation gives 7.86 states/eV/cell. The value obtained for the total moment is 0.000 μB per atom. The space group is Pnma, No. 62. As for the energy relative to the elements: -0.455 eV/atom.

a b c (Å): 9.2695 4.6756 11.8963
angles (deg): 90.00 90.00 90.00
Positions (direct):
La: 0.1965 0.2500 0.0059
La: 0.3035 0.7500 0.5059
La: 0.6965 0.2500 0.4941
La: 0.8035 0.7500 0.9941
In: 0.0695 0.2500 0.5962
In: 0.1041 0.7500 0.8148
In: 0.1329 0.7500 0.2046
In: 0.3671 0.2500 0.7046
In: 0.3959 0.2500 0.3148
In: 0.4305 0.7500 0.0962
In: 0.5695 0.2500 0.9038
In: 0.6041 0.7500 0.6852
In: 0.6329 0.7500 0.2954
In: 0.8671 0.2500 0.7954
In: 0.8959 0.2500 0.1852
In: 0.9305 0.7500 0.4038
Au: 0.1012 0.2500 0.3592
Au: 0.3988 0.7500 0.8592
Au: 0.6012 0.2500 0.1408
Au: 0.8988 0.7500 0.6408

8.
The following is a DFT calculation (PBE) of a relaxed structure of LaInAu.

Values from the calculation:
For the density of states at the Fermi level, the calculation gives 5.96 states/eV/cell. The value obtained for the total moment is 0.000 μB per atom. The space group is Imm2, No. 44. As for the energy relative to the elements: -0.727 eV/atom.

a b c (Å): 4.8840 7.6744 8.3810
angles (deg): 90.00 90.00 90.00
Positions (direct):
La: 0.0000 0.0000 0.0000
La: 0.0000 0.5000 0.0533
La: 0.5000 0.0000 0.5533
La: 0.5000 0.5000 0.5000
In: 0.0000 0.2031 0.3592
In: 0.0000 0.7969 0.3592
In: 0.5000 0.2969 0.8592
In: 0.5000 0.7031 0.8592
Au: 0.0000 0.2698 0.6921
Au: 0.0000 0.7302 0.6921
Au: 0.5000 0.2302 0.1921
Au: 0.5000 0.7698 0.1921

9.
The following is a DFT calculation (PBE) of a relaxed structure of La6In2Au.

Values from the calculation:
For the density of states at the Fermi level, the calculation gives 12.90 states/eV/cell. The value obtained for the total moment is 0.000 μB per atom. The space group is P-62m, No. 189. As for the energy relative to the elements: -0.422 eV/atom.

a b c (Å): 9.2380 9.2380 3.9063
angles (deg): 90.00 90.00 120.00
Positions (direct):
La: 0.0000 0.2610 0.0000
La: 0.0000 0.6033 0.5000
La: 0.2610 0.0000 0.0000
La: 0.3967 0.3967 0.5000
La: 0.6033 0.0000 0.5000
La: 0.7390 0.7390 0.0000
In: 0.3333 0.6667 0.0000
In: 0.6667 0.3333 0.0000
Au: 0.0000 0.0000 0.5000

10.
The following is a DFT calculation (PBE) of a relaxed structure of La2InAu4.

Values from the calculation:
For the density of states at the Fermi level, the calculation gives 4.63 states/eV/cell. The value obtained for the total moment is 0.000 μB per atom. The space group is R-3m, No. 166. As for the energy relative to the elements: -0.633 eV/atom.

a b c (Å): 10.0606 10.0606 10.0606
angles (deg): 27.09 27.09 27.09
Positions (direct):
La: 0.2477 0.2477 0.2477
La: 0.7523 0.7523 0.7523
In: 0.0000 0.0000 0.0000
Au: 0.1404 0.1404 0.1404
Au: 0.3648 0.3648 0.3648
Au: 0.6352 0.6352 0.6352
Au: 0.8596 0.8596 0.8596

11.
The following is a DFT calculation (PBE) of a relaxed structure of LaInAu4.

Values from the calculation:
For the density of states at the Fermi level, the calculation gives 2.36 states/eV/cell. The value obtained for the total moment is 0.000 μB per atom. The space group is P-1, No. 2. As for the energy relative to the elements: -0.420 eV/atom.

a b c (Å): 3.7984 3.8090 9.3189
angles (deg): 86.25 87.87 89.58
Positions (direct):
La: 0.0000 0.0000 0.0000
In: 0.5000 0.5000 0.5000
Au: 0.0136 0.0268 0.6566
Au: 0.4846 0.4715 0.1856
Au: 0.5154 0.5285 0.8144
Au: 0.9864 0.9732 0.3434

12.
The following is a DFT calculation (PBE) of a relaxed structure of LaInAu3.

Values from the calculation:
For the density of states at the Fermi level, the calculation gives 2.60 states/eV/cell. The value obtained for the total moment is 0.000 μB per atom. The space group is Pm-3m, No. 221. As for the energy relative to the elements: -0.151 eV/atom.

a b c (Å): 5.1534 5.1534 5.1534
angles (deg): 90.00 90.00 90.00
Positions (direct):
La: 0.0000 0.0000 0.0000
In: 0.5000 0.5000 0.5000
Au: 0.0000 0.5000 0.5000
Au: 0.5000 0.0000 0.5000
Au: 0.5000 0.5000 0.0000

13.
The following is a DFT calculation (PBE) of a relaxed structure of LaIn2Au3.

Values from the calculation:
For the density of states at the Fermi level, the calculation gives 7.38 states/eV/cell. The value obtained for the total moment is 0.000 μB per atom. The space group is C2/m, No. 12. As for the energy relative to the elements: -0.491 eV/atom.

a b c (Å): 8.9117 8.9117 7.1730
angles (deg): 113.57 113.57 33.97
Positions (direct):
La: 0.1436 0.1436 0.1440
La: 0.8564 0.8564 0.8560
In: 0.1741 0.1741 0.6737
In: 0.5001 0.5001 0.2105
In: 0.4999 0.4999 0.7895
In: 0.8259 0.8259 0.3263
Au: 0.0006 0.0006 0.6930
Au: 0.3166 0.3166 0.0840
Au: 0.3169 0.3169 0.5478
Au: 0.6831 0.6831 0.4522
Au: 0.6834 0.6834 0.9160
Au: 0.9994 0.9994 0.3070

14.
The following is a DFT calculation (PBE) of a relaxed structure of La2InAu4.

Values from the calculation:
For the density of states at the Fermi level, the calculation gives 12.01 states/eV/cell. The value obtained for the total moment is 0.000 μB per atom. The space group is I4/mmm, No. 139. As for the energy relative to the elements: -0.318 eV/atom.

a b c (Å): 5.1201 5.1201 15.6911
angles (deg): 90.00 90.00 90.00
Positions (direct):
La: 0.0000 0.0000 0.1322
La: 0.0000 0.0000 0.8678
La: 0.5000 0.5000 0.3678
La: 0.5000 0.5000 0.6322
In: 0.0000 0.0000 0.5000
In: 0.5000 0.5000 0.0000
Au: 0.0000 0.0000 0.3195
Au: 0.0000 0.0000 0.6805
Au: 0.0000 0.5000 0.0000
Au: 0.0000 0.5000 0.5000
Au: 0.5000 0.0000 0.0000
Au: 0.5000 0.0000 0.5000
Au: 0.5000 0.5000 0.1805
Au: 0.5000 0.5000 0.8195

15.
The following is a DFT calculation (PBE) of a relaxed structure of La2In5Au3.

Values from the calculation:
For the density of states at the Fermi level, the calculation gives 6.95 states/eV/cell. The value obtained for the total moment is 0.000 μB per atom. The space group is Ibam, No. 72. As for the energy relative to the elements: -0.529 eV/atom.

a b c (Å): 9.3743 9.3743 9.3743
angles (deg): 101.46 92.73 138.91
Positions (direct):
La: 0.1298 0.2448 0.3746
La: 0.3702 0.7448 0.1149
La: 0.6298 0.2552 0.8851
La: 0.8702 0.7552 0.6254
In: 0.0044 0.7500 0.2544
In: 0.1105 0.6440 0.7545
In: 0.2500 0.2500 0.0000
In: 0.3895 0.1440 0.5335
In: 0.4956 0.7500 0.7456
In: 0.5044 0.2500 0.2544
In: 0.6105 0.8560 0.4665
In: 0.7500 0.7500 0.0000
In: 0.8895 0.3560 0.2455
In: 0.9956 0.2500 0.7456
Au: 0.1285 0.8673 0.9959
Au: 0.2500 0.7500 0.5000
Au: 0.3715 0.3673 0.7388
Au: 0.6285 0.6327 0.2612
Au: 0.7500 0.2500 0.5000
Au: 0.8715 0.1327 0.0041

16.
The following is a DFT calculation (PBE) of a relaxed structure of LaInAu2.

Values from the calculation:
For the density of states at the Fermi level, the calculation gives 2.29 states/eV/cell. The value obtained for the total moment is 0.000 μB per atom. The space group is Pm, No. 6. As for the energy relative to the elements: -0.590 eV/atom.

a b c (Å): 4.2309 4.5045 5.7121
angles (deg): 90.00 111.54 90.00
Positions (direct):
La: 0.0000 0.0000 0.0000
In: 0.2739 0.5000 0.5481
Au: 0.5496 0.5000 0.1002
Au: 0.7187 0.0000 0.4413

17.
The following is a DFT calculation (PBE) of a relaxed structure of LaInAu2.

Values from the calculation:
For the density of states at the Fermi level, the calculation gives 12.64 states/eV/cell. The value obtained for the total moment is 0.000 μB per atom. The space group is I-42d, No. 122. As for the energy relative to the elements: -0.354 eV/atom.

a b c (Å): 5.0138 5.0138 18.2271
angles (deg): 90.00 90.00 90.00
Positions (direct):
La: 0.0000 0.0000 0.0000
La: 0.0000 0.5000 0.2500
La: 0.5000 0.0000 0.7500
La: 0.5000 0.5000 0.5000
In: 0.0000 0.0000 0.5000
In: 0.0000 0.5000 0.7500
In: 0.5000 0.0000 0.2500
In: 0.5000 0.5000 0.0000
Au: 0.1661 0.2500 0.6250
Au: 0.2500 0.6661 0.8750
Au: 0.2500 0.8339 0.3750
Au: 0.3339 0.2500 0.1250
Au: 0.6661 0.7500 0.1250
Au: 0.7500 0.1661 0.3750
Au: 0.7500 0.3339 0.8750
Au: 0.8339 0.7500 0.6250

18.
The following is a DFT calculation (PBE) of a relaxed structure of La4In12Au.

Values from the calculation:
For the density of states at the Fermi level, the calculation gives 5.70 states/eV/cell. The value obtained for the total moment is 0.000 μB per atom. The space group is Im-3m, No. 229. As for the energy relative to the elements: -0.474 eV/atom.

a b c (Å): 8.3919 8.3919 8.3919
angles (deg): 109.47 109.47 109.47
Positions (direct):
La: 0.0000 0.0000 0.5000
La: 0.0000 0.5000 0.0000
La: 0.5000 0.0000 0.0000
La: 0.5000 0.5000 0.5000
In: 0.0000 0.2912 0.2912
In: 0.0000 0.7088 0.7088
In: 0.2500 0.5000 0.7500
In: 0.2500 0.7500 0.5000
In: 0.2912 0.0000 0.2912
In: 0.2912 0.2912 0.0000
In: 0.5000 0.2500 0.7500
In: 0.5000 0.7500 0.2500
In: 0.7088 0.0000 0.7088
In: 0.7088 0.7088 0.0000
In: 0.7500 0.2500 0.5000
In: 0.7500 0.5000 0.2500
Au: 0.0000 0.0000 0.0000

19.
The following is a DFT calculation (PBE) of a relaxed structure of La6In5Au.

Values from the calculation:
For the density of states at the Fermi level, the calculation gives 14.21 states/eV/cell. The value obtained for the total moment is 0.000 μB per atom. The space group is C2/m, No. 12. As for the energy relative to the elements: -0.534 eV/atom.

a b c (Å): 9.5681 9.5681 5.5018
angles (deg): 106.36 106.36 49.55
Positions (direct):
La: 0.0815 0.5959 0.3395
La: 0.2379 0.7621 0.0000
La: 0.4041 0.9185 0.6605
La: 0.5959 0.0815 0.3395
La: 0.7621 0.2379 0.0000
La: 0.9185 0.4041 0.6605
In: 0.1750 0.1750 0.1730
In: 0.3348 0.3348 0.8357
In: 0.5000 0.5000 0.5000
In: 0.6652 0.6652 0.1643
In: 0.8250 0.8250 0.8270
Au: 0.0000 0.0000 0.5000

20.
The following is a DFT calculation (PBE) of a relaxed structure of La3In2Au9.

Values from the calculation:
For the density of states at the Fermi level, the calculation gives 6.69 states/eV/cell. The value obtained for the total moment is 0.000 μB per atom. The space group is Immm, No. 71. As for the energy relative to the elements: -0.615 eV/atom.

a b c (Å): 8.8645 8.8645 8.8645
angles (deg): 149.21 113.49 75.07
Positions (direct):
La: 0.0000 0.0000 0.0000
La: 0.2845 0.2845 0.0000
La: 0.7155 0.7155 0.0000
In: 0.3205 0.5000 0.8205
In: 0.6795 0.5000 0.1795
Au: 0.0154 0.6551 0.3602
Au: 0.1520 0.8590 0.2930
Au: 0.2949 0.6551 0.6398
Au: 0.4340 0.1410 0.2930
Au: 0.5000 0.0000 0.5000
Au: 0.5660 0.8590 0.7070
Au: 0.7051 0.3449 0.3602
Au: 0.8480 0.1410 0.7070
Au: 0.9846 0.3449 0.6398